P:
The following is a PBE calculation of LaPaZn2 after structural relaxation, from Alexandria via LeMat-Bulk.

## Properties
**Crystal system**: tetragonal
**ρ**: 8.7 g/cm³

Cell: 3.580 3.580 7.447 Å, 90.00 90.00 90.00°
Sites, in units of the cell vectors:
La: 0.000 0.000 0.000
Pa: 0.000 0.000 0.500
Zn: 0.500 0.500 0.268
Zn: 0.500 0.500 0.732

***

Q:
The following is a PBE calculation of LaPaZn2 after structural relaxation, from Alexandria via LeMat-Bulk.

## Properties
**Crystal system**: trigonal
**ρ**: 8.9 g/cm³

Cell: 10.701 10.701 10.701 Å, 17.16 17.16 17.16°
Sites, in units of the cell vectors:
La: 0.000 0.000 0.000
Pa: 0.500 0.500 0.500
Zn: 0.247 0.247 0.247
Zn: 0.753 0.753 0.753

***

Tell me which of them is the least stable. Sure, it is Q.

***

P:
The following is a PBE calculation of La3Pb4 after structural relaxation, from Alexandria via LeMat-Bulk.

## Properties
**Crystal system**: hexagonal
**ρ**: 9.0 g/cm³

Cell: 6.657 6.657 6.003 Å, 90.00 90.00 120.00°
Sites, in units of the cell vectors:
La: 0.000 0.500 0.000
La: 0.500 0.000 0.000
La: 0.500 0.500 0.000
Pb: 0.000 0.000 0.247
Pb: 0.000 0.000 0.753
Pb: 0.333 0.667 0.500
Pb: 0.667 0.333 0.500

***

Q:
The following is a PBE calculation of La3Pb4 after structural relaxation, from Alexandria via LeMat-Bulk.

## Properties
**Crystal system**: orthorhombic
**ρ**: 8.9 g/cm³

Cell: 6.513 6.513 16.450 Å, 90.00 90.00 138.05°
Sites, in units of the cell vectors:
La: 0.058 0.942 0.750
La: 0.333 0.667 0.597
La: 0.333 0.667 0.903
La: 0.667 0.333 0.097
La: 0.667 0.333 0.403
La: 0.942 0.058 0.250
Pb: 0.000 0.000 0.000
Pb: 0.000 0.000 0.500
Pb: 0.208 0.792 0.250
Pb: 0.377 0.623 0.108
Pb: 0.377 0.623 0.392
Pb: 0.623 0.377 0.608
Pb: 0.623 0.377 0.892
Pb: 0.792 0.208 0.750

***

Tell me which of them is the least stable. Sure, it is P.

***

P:
The following is a PBE calculation of La3Pb5 after structural relaxation, from Alexandria via LeMat-Bulk.

## Properties
**Crystal system**: monoclinic
**ρ**: 9.3 g/cm³

Cell: 9.343 9.343 8.991 Å, 93.47 93.47 137.95°
Sites, in units of the cell vectors:
La: 0.000 0.000 0.000
La: 0.031 0.512 0.172
La: 0.105 0.433 0.671
La: 0.433 0.105 0.671
La: 0.512 0.031 0.172
La: 0.542 0.542 0.342
Pb: 0.043 0.695 0.857
Pb: 0.140 0.949 0.330
Pb: 0.401 0.593 0.012
Pb: 0.499 0.846 0.487
Pb: 0.550 0.550 0.716
Pb: 0.593 0.401 0.012
Pb: 0.695 0.043 0.857
Pb: 0.846 0.499 0.487
Pb: 0.949 0.140 0.330
Pb: 0.989 0.989 0.626

***

Q:
The following is a PBE calculation of La3Pb5 after structural relaxation, from Alexandria via LeMat-Bulk.

## Properties
**Crystal system**: hexagonal
**ρ**: 9.2 g/cm³

Cell: 9.636 9.636 6.533 Å, 90.00 90.00 120.00°
Sites, in units of the cell vectors:
La: 0.000 0.395 0.250
La: 0.000 0.605 0.750
La: 0.395 0.000 0.250
La: 0.395 0.395 0.750
La: 0.605 0.000 0.750
La: 0.605 0.605 0.250
Pb: 0.000 0.199 0.750
Pb: 0.000 0.801 0.250
Pb: 0.199 0.000 0.750
Pb: 0.199 0.199 0.250
Pb: 0.333 0.667 0.000
Pb: 0.333 0.667 0.500
Pb: 0.667 0.333 0.000
Pb: 0.667 0.333 0.500
Pb: 0.801 0.000 0.250
Pb: 0.801 0.801 0.750

***

R:
The following is a PBE calculation of La3Pb5 after structural relaxation, from Alexandria via LeMat-Bulk.

## Properties
**Crystal system**: orthorhombic
**ρ**: 9.6 g/cm³

Cell: 7.149 7.149 4.928 Å, 90.00 90.00 95.63°
Sites, in units of the cell vectors:
La: 0.000 0.000 0.000
La: 0.280 0.720 0.500
La: 0.720 0.280 0.500
Pb: 0.000 0.500 0.000
Pb: 0.234 0.234 0.500
Pb: 0.500 0.000 0.000
Pb: 0.500 0.500 0.000
Pb: 0.766 0.766 0.500

***

Tell me which of them is the least stable. Sure, it is P.

***

P:
The following is a PBE calculation of LaPd3Pb3 after structural relaxation, from Alexandria via LeMat-Bulk.

## Properties
**Crystal system**: monoclinic
**ρ**: 10.4 g/cm³

Cell: 9.070 4.834 9.071 Å, 90.00 119.95 90.00°
Sites, in units of the cell vectors:
La: 0.166 0.250 0.333
La: 0.834 0.750 0.667
Pd: 0.042 0.250 0.937
Pd: 0.105 0.750 0.541
Pd: 0.437 0.750 0.395
Pd: 0.563 0.250 0.605
Pd: 0.895 0.250 0.459
Pd: 0.958 0.750 0.063
Pb: 0.222 0.250 0.751
Pb: 0.252 0.750 0.030
Pb: 0.470 0.750 0.721
Pb: 0.530 0.250 0.279
Pb: 0.748 0.250 0.970
Pb: 0.778 0.750 0.249

***

Q:
The following is a PBE calculation of LaPd3Pb3 after structural relaxation, from Alexandria via LeMat-Bulk.

## Properties
**Crystal system**: trigonal
**ρ**: 9.9 g/cm³

Cell: 7.470 7.470 7.470 Å, 71.39 71.39 71.39°
Sites, in units of the cell vectors:
La: 0.165 0.165 0.165
La: 0.835 0.835 0.835
Pd: 0.059 0.441 0.810
Pd: 0.190 0.941 0.559
Pd: 0.441 0.810 0.059
Pd: 0.559 0.190 0.941
Pd: 0.810 0.059 0.441
Pd: 0.941 0.559 0.190
Pb: 0.124 0.677 0.388
Pb: 0.323 0.612 0.876
Pb: 0.388 0.124 0.677
Pb: 0.612 0.876 0.323
Pb: 0.677 0.388 0.124
Pb: 0.876 0.323 0.612

***

Tell me which of them is the least stable. Sure, it is Q.

***

P:
The following is a PBE calculation of La2Pd9Pb after structural relaxation, from Alexandria via LeMat-Bulk.

## Properties
**Crystal system**: trigonal
**ρ**: 10.3 g/cm³

Cell: 9.642 9.642 9.642 Å, 32.76 32.76 32.76°
Sites, in units of the cell vectors:
La: 0.135 0.135 0.135
La: 0.865 0.865 0.865
Pd: 0.082 0.586 0.586
Pd: 0.333 0.333 0.333
Pd: 0.414 0.414 0.918
Pd: 0.414 0.918 0.414
Pd: 0.500 0.500 0.500
Pd: 0.586 0.082 0.586
Pd: 0.586 0.586 0.082
Pd: 0.667 0.667 0.667
Pd: 0.918 0.414 0.414
Pb: 0.000 0.000 0.000

***

Q:
The following is a PBE calculation of La2Pd9Pb after structural relaxation, from Alexandria via LeMat-Bulk.

## Properties
**Crystal system**: tetragonal
**ρ**: 10.8 g/cm³

Cell: 4.206 4.206 12.500 Å, 90.00 90.00 90.00°
Sites, in units of the cell vectors:
La: 0.000 0.000 0.170
La: 0.000 0.000 0.830
Pd: 0.000 0.500 0.000
Pd: 0.000 0.500 0.341
Pd: 0.000 0.500 0.659
Pd: 0.500 0.000 0.000
Pd: 0.500 0.000 0.341
Pd: 0.500 0.000 0.659
Pd: 0.500 0.500 0.172
Pd: 0.500 0.500 0.500
Pd: 0.500 0.500 0.828
Pb: 0.000 0.000 0.500

***

Tell me which of them is the least stable. Sure, it is P.

***

P:
The following is a PBE calculation of La2Pd2Pb after structural relaxation, from Alexandria via LeMat-Bulk.

## Properties
**Crystal system**: tetragonal
**ρ**: 8.5 g/cm³

Cell: 8.677 8.677 3.601 Å, 90.00 90.00 90.00°
Sites, in units of the cell vectors:
La: 0.160 0.340 0.000
La: 0.340 0.840 0.000
La: 0.660 0.160 0.000
La: 0.840 0.660 0.000
Pd: 0.125 0.625 0.500
Pd: 0.375 0.125 0.500
Pd: 0.625 0.875 0.500
Pd: 0.875 0.375 0.500
Pb: 0.000 0.000 0.000
Pb: 0.500 0.500 0.000

***

Q:
The following is a PBE calculation of La2Pd2Pb after structural relaxation, from Alexandria via LeMat-Bulk.

## Properties
**Crystal system**: tetragonal
**ρ**: 8.4 g/cm³

Cell: 5.835 5.835 5.835 Å, 121.49 121.49 87.43°
Sites, in units of the cell vectors:
La: 0.250 0.750 0.500
La: 0.750 0.250 0.500
Pd: 0.152 0.152 0.000
Pd: 0.848 0.848 0.000
Pb: 0.500 0.500 0.000

***

R:
The following is a PBE calculation of La2Pd2Pb after structural relaxation, from Alexandria via LeMat-Bulk.

## Properties
**Crystal system**: tetragonal
**ρ**: 9.1 g/cm³

Cell: 8.066 8.066 3.929 Å, 90.00 90.00 90.00°
Sites, in units of the cell vectors:
La: 0.177 0.323 0.000
La: 0.323 0.823 0.000
La: 0.677 0.177 0.000
La: 0.823 0.677 0.000
Pd: 0.124 0.624 0.500
Pd: 0.376 0.124 0.500
Pd: 0.624 0.876 0.500
Pd: 0.876 0.376 0.500
Pb: 0.000 0.000 0.500
Pb: 0.500 0.500 0.500

***

Tell me which of them is the least stable. Sure, it is P.

***

P:
The following is a PBE calculation of LaPd4Pb after structural relaxation, from Alexandria via LeMat-Bulk.

## Properties
**Crystal system**: cubic
**ρ**: 10.8 g/cm³

Cell: 5.514 5.514 5.514 Å, 60.00 60.00 60.00°
Sites, in units of the cell vectors:
La: 0.000 0.000 0.000
Pd: 0.126 0.625 0.625
Pd: 0.625 0.126 0.625
Pd: 0.625 0.625 0.126
Pd: 0.625 0.625 0.625
Pb: 0.250 0.250 0.250

***

Q:
The following is a PBE calculation of LaPd4Pb after structural relaxation, from Alexandria via LeMat-Bulk.

## Properties
**Crystal system**: triclinic
**ρ**: 10.7 g/cm³

Cell: 4.899 5.614 9.440 Å, 107.23 104.99 90.05°
Sites, in units of the cell vectors:
La: 0.250 0.207 0.000
La: 0.750 0.793 0.000
Pd: 0.088 0.008 0.675
Pd: 0.159 0.564 0.819
Pd: 0.340 0.745 0.181
Pd: 0.412 0.333 0.325
Pd: 0.588 0.667 0.675
Pd: 0.660 0.255 0.819
Pd: 0.841 0.436 0.181
Pd: 0.912 0.992 0.325
Pb: 0.000 0.500 0.500
Pb: 0.500 0.000 0.500

***

Tell me which of them is the least stable. Sure, it is Q.

***

P:
The following is a PBE calculation of LaPmPb after structural relaxation, from Alexandria via LeMat-Bulk.

## Properties
**Crystal system**: tetragonal
**ρ**: 8.0 g/cm³

Cell: 4.757 4.757 8.982 Å, 90.00 90.00 90.00°
Sites, in units of the cell vectors:
La: 0.250 0.250 0.152
La: 0.750 0.750 0.848
Pm: 0.250 0.750 0.500
Pm: 0.750 0.250 0.500
Pb: 0.250 0.250 0.776
Pb: 0.750 0.750 0.224

***

Q:
The following is a PBE calculation of LaPmPb after structural relaxation, from Alexandria via LeMat-Bulk.

## Properties
**Crystal system**: cubic
**ρ**: 7.3 g/cm³

Cell: 5.398 5.398 5.398 Å, 60.00 60.00 60.00°
Sites, in units of the cell vectors:
La: 0.000 0.000 0.000
Pm: 0.500 0.500 0.500
Pb: 0.750 0.750 0.750

***

Tell me which of them is the least stable. Sure, it is Q.